Computed, not measured: a relaxed structure of K2BaFeF6 at the PBE with a Hubbard U level of DFT.

Unit cell a=6.2891 b=6.4854 c=8.9990 alpha=90.00 beta=91.61 gamma=90.00
With the nearest neighbours (Å) after each atom.
Positions (direct):
1 K 0.0174 0.9493 0.2495  5 F 2.66-2.89
2 K 0.5174 0.5507 0.7495  5 F 2.66-2.89
3 K 0.9826 0.0507 0.7505  5 F 2.66-2.89
4 K 0.4826 0.4493 0.2505  5 F 2.66-2.89
5 Ba 0.5000 0.0000 0.0000  6 F 2.59
6 Ba 0.0000 0.5000 0.5000  6 F 2.59
7 Fe 0.5000 0.0000 0.5000  6 F 2.07-2.16
8 Fe 0.0000 0.5000 0.0000  6 F 2.07-2.16
9 F 0.2671 0.6776 0.0473  1 Fe 2.07
10 F 0.7671 0.8224 0.5473  1 Fe 2.07
11 F 0.7329 0.3224 0.9527  1 Fe 2.07
12 F 0.2329 0.1776 0.4527  1 Fe 2.07
13 F 0.3230 0.7273 0.4347  1 Fe 2.16
14 F 0.8230 0.7727 0.9347  1 Fe 2.16
15 F 0.6770 0.2727 0.5653  1 Fe 2.16
16 F 0.1770 0.2273 0.0653  1 Fe 2.16
17 F 0.8915 0.5471 0.2220  1 Fe 2.15
18 F 0.3915 0.9529 0.7220  1 Fe 2.15
19 F 0.1085 0.4529 0.7780  1 Fe 2.15
20 F 0.6085 0.0471 0.2780  1 Fe 2.15

Computed properties:
The value obtained for the total energy is -5.072 eV/atom. The size of the total moment is 8.000 μB/cell.